# Y4ErTh, optimized geometry, DFT PBE-GGA
data_Y4ErTh
_symmetry_space_group_name_H-M 'C 1 2/m 1'
_symmetry_Int_Tables_number 12
_cell_length_a 11.263
_cell_length_b 5.062
_cell_length_c 7.113
_cell_angle_alpha 90.00
_cell_angle_beta 108.04
_cell_angle_gamma 90.00
loop_
_symmetry_equiv_pos_as_xyz
'x,y,z'
'-x,-y,-z'
'-x,y,-z'
'x,-y,z'
'x+1/2,y+1/2,z'
'-x+1/2,-y+1/2,-z'
'-x+1/2,y+1/2,-z'
'x+1/2,-y+1/2,z'
loop_
_atom_site_label
_atom_site_fract_x
_atom_site_fract_y
_atom_site_fract_z
_atom_site_occupancy
Y1 0.163 0.000 0.328 1
Y2 0.165 0.000 0.836 1
Er1 0.000 0.500 0.500 1
Th1 0.000 0.500 0.000 1
# - Size of the total moment: 0.00 μB per formula unit
# - Uncorrected energy: -6.269 eV per atom
# - DOS at the Fermi energy: 9.61 states/eV/f.u.
# - Energy relative to the lowest polymorph listed for this composition: 0.00 eV per formula unit
# - DFT formation energy: 37 meV/atom


# KZnTe2, optimized geometry, DFT PBE-GGA
data_KZnTe2
_symmetry_space_group_name_H-M 'I -4 2 d'
_symmetry_Int_Tables_number 122
_symmetry_space_group_name_Hall 'I -4 2bw'
_cell_length_a 8.227
_cell_length_b 8.227
_cell_length_c 8.044
_cell_angle_alpha 90.00
_cell_angle_beta 90.00
_cell_angle_gamma 90.00
loop_
_atom_site_label
_atom_site_fract_x
_atom_site_fract_y
_atom_site_fract_z
_atom_site_occupancy
K1 0.000 0.000 0.000 1
Zn1 0.000 0.000 0.500 1
Te1 0.162 0.250 0.625 1
# - ΔE_f (raw): -0.5151 eV/atom
# - Size of the total moment: 0.00 μB per formula unit
# - Uncorrected energy: -2.679 eV per atom
# - DOS at the Fermi energy: 2.06 states/eV/f.u.


# Na2LiPdCl6, optimized geometry, DFT PBE-GGA
data_Na2LiPdCl6
_symmetry_space_group_name_H-M 'P 1 21/c 1'
_symmetry_Int_Tables_number 14
_cell_length_a 6.602
_cell_length_b 6.900
_cell_length_c 11.429
_cell_angle_alpha 90.00
_cell_angle_beta 121.55
_cell_angle_gamma 90.00
loop_
_symmetry_equiv_pos_as_xyz
'x,y,z'
'-x,-y,-z'
'-x,y+1/2,-z+1/2'
'x,-y+1/2,z+1/2'
loop_
_atom_site_label
_atom_site_fract_x
_atom_site_fract_y
_atom_site_fract_z
_atom_site_occupancy
Na1 0.222 0.087 0.240 1
Li1 0.500 0.000 0.000 1
Pd1 0.000 0.000 0.500 1
Cl1 0.120 0.209 0.944 1
Cl2 0.224 0.681 0.931 1
Cl3 0.371 0.029 0.755 1
# - ΔE_f (raw): -1.2007 eV/atom
# - Size of the total moment: 1.02 μB per formula unit
# - Uncorrected energy: -3.283 eV per atom


# Ca2LaSi, optimized geometry, DFT PBE-GGA
data_Ca2LaSi
_symmetry_space_group_name_H-M 'I m m 2'
_symmetry_Int_Tables_number 44
_cell_length_a 3.738
_cell_length_b 5.381
_cell_length_c 12.966
_cell_angle_alpha 90.00
_cell_angle_beta 90.00
_cell_angle_gamma 90.00
loop_
_symmetry_equiv_pos_as_xyz
'x,y,z'
'-x,-y,z'
'-x,y,z'
'x,-y,z'
'x+1/2,y+1/2,z+1/2'
'-x+1/2,-y+1/2,z+1/2'
'-x+1/2,y+1/2,z+1/2'
'x+1/2,-y+1/2,z+1/2'
loop_
_atom_site_label
_atom_site_fract_x
_atom_site_fract_y
_atom_site_fract_z
_atom_site_occupancy
Ca1 0.000 0.000 0.000 1
Ca2 0.000 0.500 0.181 1
La1 0.000 0.500 0.819 1
Si1 0.000 0.000 0.500 1
# - ΔE_f (raw): -0.1494 eV/atom
# - Size of the total moment: 0.00 μB per formula unit
# - Uncorrected energy: -3.738 eV per atom
# - DOS at the Fermi energy: 3.68 states/eV/f.u.


# Sm2TmSb3, optimized geometry, DFT PBE-GGA
data_Sm2TmSb3
_symmetry_space_group_name_H-M 'C 1 2/m 1'
_symmetry_Int_Tables_number 12
_cell_length_a 7.671
_cell_length_b 13.288
_cell_length_c 7.663
_cell_angle_alpha 90.00
_cell_angle_beta 109.50
_cell_angle_gamma 90.00
loop_
_symmetry_equiv_pos_as_xyz
'x,y,z'
'-x,-y,-z'
'-x,y,-z'
'x,-y,z'
'x+1/2,y+1/2,z'
'-x+1/2,-y+1/2,-z'
'-x+1/2,y+1/2,-z'
'x+1/2,-y+1/2,z'
loop_
_atom_site_label
_atom_site_fract_x
_atom_site_fract_y
_atom_site_fract_z
_atom_site_occupancy
Sm1 0.000 0.000 0.000 1
Sm2 0.000 0.165 0.500 1
Sm3 0.000 0.500 0.500 1
Tm1 0.000 0.333 0.000 1
Sb1 0.242 0.500 0.243 1
Sb2 0.249 0.331 0.755 1
# - ΔE_f (raw): -1.1359 eV/atom
# - Size of the total moment: 0.00 μB per formula unit
# - Uncorrected energy: -5.515 eV per atom
# - DOS at the Fermi energy: 1.12 states/eV/f.u.


# Th2Be4Ir3Rh, optimized geometry, DFT PBE-GGA
data_Th2Be4Ir3Rh
_symmetry_space_group_name_H-M 'P -4 m 2'
_symmetry_Int_Tables_number 115
_cell_length_a 4.088
_cell_length_b 4.088
_cell_length_c 9.374
_cell_angle_alpha 90.00
_cell_angle_beta 90.00
_cell_angle_gamma 90.00
loop_
_symmetry_equiv_pos_as_xyz
'x,y,z'
'y,-x,-z'
'-x,-y,z'
'-y,x,-z'
'-x,y,z'
'-y,-x,-z'
'x,-y,z'
'y,x,-z'
loop_
_atom_site_label
_atom_site_fract_x
_atom_site_fract_y
_atom_site_fract_z
_atom_site_occupancy
Th1 0.000 0.500 0.243 1
Be1 0.000 0.000 0.500 1
Be2 0.000 0.500 0.882 1
Be3 0.500 0.500 0.500 1
Ir1 0.000 0.000 0.000 1
Ir2 0.000 0.500 0.625 1
Rh1 0.500 0.500 0.000 1
# - Size of the total moment: 0.00 μB per formula unit
# - Uncorrected energy: -7.076 eV per atom
# - DOS at the Fermi energy: 4.45 states/eV/f.u.
# - DFT formation energy: -709 meV/atom


# Th3CoS2, optimized geometry, DFT PBE-GGA
data_Th3CoS2
_symmetry_space_group_name_H-M 'P n m a'
_symmetry_Int_Tables_number 62
_cell_length_a 8.169
_cell_length_b 5.721
_cell_length_c 12.110
_cell_angle_alpha 90.00
_cell_angle_beta 90.00
_cell_angle_gamma 90.00
loop_
_symmetry_equiv_pos_as_xyz
'x,y,z'
'-x,-y,-z'
'-x+1/2,-y,z+1/2'
'x+1/2,y,-z+1/2'
'x+1/2,-y+1/2,-z+1/2'
'-x+1/2,y+1/2,z+1/2'
'-x,y+1/2,-z'
'x,-y+1/2,z'
loop_
_atom_site_label
_atom_site_fract_x
_atom_site_fract_y
_atom_site_fract_z
_atom_site_occupancy
Th1 0.108 0.250 0.074 1
Th2 0.127 0.250 0.417 1
Th3 0.144 0.250 0.741 1
Co1 0.123 0.750 0.091 1
S1 0.121 0.750 0.418 1
S2 0.132 0.750 0.746 1
# - ΔE_f (raw): -1.3157 eV/atom
# - Size of the total moment: 0.00 μB per formula unit
# - Uncorrected energy: -7.586 eV per atom
# - DOS at the Fermi energy: 5.59 states/eV/f.u.


# NbOs3Rh, optimized geometry, DFT PBE-GGA
data_NbOs3Rh
_symmetry_space_group_name_H-M 'P m -3 m'
_symmetry_Int_Tables_number 221
_symmetry_space_group_name_Hall '-P 4 2 3'
_cell_length_a 4.684
_cell_length_b 4.684
_cell_length_c 4.684
_cell_angle_alpha 90.00
_cell_angle_beta 90.00
_cell_angle_gamma 90.00
loop_
_atom_site_label
_atom_site_fract_x
_atom_site_fract_y
_atom_site_fract_z
_atom_site_occupancy
Nb1 0.000 0.000 0.000 1
Os1 0.000 0.000 0.500 1
Rh1 0.500 0.500 0.500 1
# - Size of the total moment: 0.10 μB per formula unit
# - Uncorrected energy: -7.772 eV per atom
# - DOS at the Fermi energy: 10.86 states/eV/f.u.
# - Energy relative to the lowest polymorph listed for this composition: 6.31 eV per formula unit
# - DFT formation energy: 2450 meV/atom


# TiBePt, optimized geometry, DFT PBE-GGA
data_TiBePt
_symmetry_space_group_name_H-M 'P -6 m 2'
_symmetry_Int_Tables_number 187
_symmetry_space_group_name_Hall 'P -6 2'
_cell_length_a 4.1140
_cell_length_b 4.1140
_cell_length_c 2.7867
_cell_angle_alpha 90.00
_cell_angle_beta 90.00
_cell_angle_gamma 120.00
loop_
_atom_site_label
_atom_site_fract_x
_atom_site_fract_y
_atom_site_fract_z
_atom_site_occupancy
Ti1 0.0000 0.0000 0.0000 1
Be1 0.3333 0.6667 0.5000 1
Pt1 0.6667 0.3333 0.5000 1
# - Size of the total moment: 0.04 μB per formula unit
# - Uncorrected energy: -6.568 eV per atom
# - DOS at the Fermi energy: 2.02 states/eV/f.u.
# - Energy relative to the lowest polymorph listed for this composition: 0.22 eV per formula unit
# - DFT formation energy: -681 meV/atom


# Y6Pd2Rh, optimized geometry, DFT PBE-GGA
data_Y6Pd2Rh
_symmetry_space_group_name_H-M 'P 1 21/c 1'
_symmetry_Int_Tables_number 14
_cell_length_a 6.557
_cell_length_b 7.359
_cell_length_c 11.920
_cell_angle_alpha 90.00
_cell_angle_beta 122.44
_cell_angle_gamma 90.00
loop_
_symmetry_equiv_pos_as_xyz
'x,y,z'
'-x,-y,-z'
'-x,y+1/2,-z+1/2'
'x,-y+1/2,z+1/2'
loop_
_atom_site_label
_atom_site_fract_x
_atom_site_fract_y
_atom_site_fract_z
_atom_site_occupancy
Y1 0.091 0.183 0.432 1
Y2 0.259 0.674 0.432 1
Y3 0.399 0.039 0.247 1
Pd1 0.184 0.116 0.743 1
Rh1 0.500 0.000 0.500 1
# - Size of the total moment: 0.00 μB per formula unit
# - Uncorrected energy: -6.859 eV per atom
# - DOS at the Fermi energy: 8.11 states/eV/f.u.
# - DFT formation energy: -579 meV/atom


# DyNi9Ge2, optimized geometry, DFT PBE-GGA
data_DyNi9Ge2
_symmetry_space_group_name_H-M 'R -3 m'
_symmetry_Int_Tables_number 166
_symmetry_space_group_name_Hall '-R 3 2"'
_cell_length_a 4.8378
_cell_length_b 4.8378
_cell_length_c 23.1800
_cell_angle_alpha 90.00
_cell_angle_beta 90.00
_cell_angle_gamma 120.00
loop_
_atom_site_label
_atom_site_fract_x
_atom_site_fract_y
_atom_site_fract_z
_atom_site_occupancy
Dy1 0.0000 0.0000 0.0000 1
Ni1 0.0000 0.0000 0.3341 1
Ni2 0.0000 0.0000 0.5000 1
Ni3 0.0057 0.5028 0.9131 1
Ge1 0.0000 0.0000 0.1379 1
# - Size of the total moment: 0.00 μB per formula unit
# - Uncorrected energy: -5.662 eV per atom
# - DOS at the Fermi energy: 12.37 states/eV/f.u.
# - DFT formation energy: -173 meV/atom


# HfZrCd6, optimized geometry, DFT PBE-GGA
data_HfZrCd6
_symmetry_space_group_name_H-M 'R -3 m'
_symmetry_Int_Tables_number 166
_symmetry_space_group_name_Hall '-R 3 2"'
_cell_length_a 7.7441
_cell_length_b 7.7441
_cell_length_c 11.4110
_cell_angle_alpha 90.00
_cell_angle_beta 90.00
_cell_angle_gamma 120.00
loop_
_atom_site_label
_atom_site_fract_x
_atom_site_fract_y
_atom_site_fract_z
_atom_site_occupancy
Hf1 0.0000 0.0000 0.0000 1
Zr1 0.0000 0.0000 0.5000 1
Cd1 0.0871 0.5436 0.3902 1
# - Size of the total moment: 0.00 μB per formula unit
# - Uncorrected energy: -2.661 eV per atom
# - DOS at the Fermi energy: 5.95 states/eV/f.u.
# - DFT formation energy: 339 meV/atom


Among the records above, which one has the highest size of the total moment?
Na2LiPdCl6